The following is a PBE calculation of a geometry-optimized Bi2AuO4 structure, from OQMD.

a = 8.718 Å, b = 8.718 Å, c = 6.054 Å
α = 90.00°, β = 90.00°, γ = 90.00°
Atoms (fractional coordinates):
1 Bi 0.079 0.579 0.250
2 Bi 0.079 0.921 0.750
3 Bi 0.421 0.579 0.750
4 Bi 0.421 0.921 0.250
5 Bi 0.579 0.079 0.750
6 Bi 0.579 0.421 0.250
7 Bi 0.921 0.079 0.250
8 Bi 0.921 0.421 0.750
9 Au 0.250 0.250 0.071
10 Au 0.250 0.250 0.571
11 Au 0.750 0.750 0.429
12 Au 0.750 0.750 0.929
13 O 0.028 0.146 0.597
14 O 0.028 0.354 0.097
15 O 0.146 0.028 0.097
16 O 0.146 0.472 0.597
17 O 0.354 0.028 0.597
18 O 0.354 0.472 0.097
19 O 0.472 0.146 0.097
20 O 0.472 0.354 0.597
21 O 0.528 0.646 0.403
22 O 0.528 0.854 0.903
23 O 0.646 0.528 0.903
24 O 0.646 0.972 0.403
25 O 0.854 0.528 0.403
26 O 0.854 0.972 0.903
27 O 0.972 0.646 0.903
28 O 0.972 0.854 0.403

Properties
symmetry = No. 130
distance to the lowest polymorph of the same formula = 0.00 eV/f.u.